First-principles (GGA+U) data for crystalline LiVPdF6 at its relaxed geometry, as listed in Alexandria.

Calculated values
total magnetization: 4.0 μB/f.u.
E_tot: -5.158 eV/atom

Cell lengths 5.2273, 5.2273, 9.3681 Å; angles 90.00, 90.00, 120.00 degrees
Last column: magnetic moment on the atom in μB.
Sites, in units of the cell vectors:
V 0.6667 0.3333 0.2500  1.94
Li 0.6667 0.3333 0.7500  0.00
F 0.3537 0.3435 0.3652  0.07
Pd 0.0000 0.0000 0.0000  1.52
F 0.0102 0.6565 0.8652  0.07
Li 0.3333 0.6667 0.2500  0.00
F 0.9898 0.3435 0.1348  0.07
F 0.9898 0.6463 0.3652  0.07
F 0.0102 0.3537 0.6348  0.07
F 0.3537 0.0102 0.1348  0.07
F 0.6565 0.0102 0.3652  0.07
F 0.3435 0.9898 0.6348  0.07
F 0.6565 0.6463 0.1348  0.07
V 0.3333 0.6667 0.7500  1.94
Pd 0.0000 0.0000 0.5000  1.52
F 0.6463 0.6565 0.6348  0.07
F 0.6463 0.9898 0.8652  0.07
F 0.3435 0.3537 0.8652  0.07